[1]
! HfIn2Fe, relaxed, DFT PBE; values from VASP
&SYSTEM
  ibrav = 0, nat = 16, ntyp = 3
/
ATOMIC_SPECIES
Hf 178.49 Hf.upf
In 114.82 In.upf
Fe 55.84 Fe.upf
ATOMIC_POSITIONS crystal
Hf 0.0000 0.0000 0.0000
Hf 0.0000 0.5000 0.2500
Hf 0.5000 0.0000 0.7500
Hf 0.5000 0.5000 0.5000
In 0.2037 0.2500 0.6250
In 0.2500 0.7037 0.8750
In 0.2500 0.7963 0.3750
In 0.2963 0.2500 0.1250
In 0.7037 0.7500 0.1250
In 0.7500 0.2037 0.3750
In 0.7500 0.2963 0.8750
In 0.7963 0.7500 0.6250
Fe 0.0000 0.0000 0.5000
Fe 0.0000 0.5000 0.7500
Fe 0.5000 0.0000 0.2500
Fe 0.5000 0.5000 0.0000
CELL_PARAMETERS angstrom
7.6689 0.0000 0.0000
0.0000 7.6689 0.0000
0.0000 0.0000 5.5399
! ΔH_f (0 K) (kJ per mole of atoms): 43.62
! VASP energy (eV/atom): -5.52
! Space-group type: I-42d (122)


[2]
! FeSi2Se, relaxed, DFT PBE; values from VASP
&SYSTEM
  ibrav = 0, nat = 8, ntyp = 3
/
ATOMIC_SPECIES
Fe 55.84 Fe.upf
Si 28.09 Si.upf
Se 78.96 Se.upf
ATOMIC_POSITIONS crystal
Fe 0.0000 0.0000 0.0000
Fe 0.5000 0.5000 0.0000
Si 0.2353 0.0000 0.8359
Si 0.4540 0.0000 0.6425
Si 0.7353 0.5000 0.8359
Si 0.9540 0.5000 0.6425
Se 0.2765 0.5000 0.2400
Se 0.7765 0.0000 0.2400
CELL_PARAMETERS angstrom
7.2913 0.0000 0.0000
0.0000 3.1815 0.0000
-2.2873 0.0000 5.4639
! Formation energy without anion corrections (meV/atom): 122
! VASP energy (eV/atom): -5.58
! Space-group type: Cm (8)


[3]
! Sn2BiSb2, relaxed, DFT PBE; values from VASP
&SYSTEM
  ibrav = 0, nat = 15, ntyp = 3
/
ATOMIC_SPECIES
Sn 118.71 Sn.upf
Bi 208.98 Bi.upf
Sb 121.76 Sb.upf
ATOMIC_POSITIONS crystal
Sn 0.0000 0.0000 0.2019
Sn 0.0000 0.0000 0.7981
Sn 0.3333 0.6667 0.4648
Sn 0.3333 0.6667 0.8685
Sn 0.6667 0.3333 0.1315
Sn 0.6667 0.3333 0.5352
Bi 0.0000 0.0000 0.0000
Bi 0.3333 0.6667 0.6667
Bi 0.6667 0.3333 0.3333
Sb 0.0000 0.0000 0.4039
Sb 0.0000 0.0000 0.5961
Sb 0.3333 0.6667 0.0706
Sb 0.3333 0.6667 0.2627
Sb 0.6667 0.3333 0.7373
Sb 0.6667 0.3333 0.9294
CELL_PARAMETERS angstrom
4.3701 0.0000 0.0000
-2.1851 3.7846 0.0000
0.0000 0.0000 28.0105
! Polymorph energy (0 for the lowest one) (meV per atom): 0
! Formation energy without anion corrections (meV/atom): 27
! VASP energy (eV/atom): -4.00
! Space-group type: R-3m (166)


no.,density of states at the Fermi level (states/eV per atom)
1,1.308
2,0.611
3,0.518